# 1
This record from Alexandria describes a relaxed structure of Al2AsC. The functional is PBE.

a b c (Å): 4.310 4.310 4.310
angles (deg): 60.00 60.00 60.00
Positions (direct):
Al (0.250, 0.250, 0.250)
Al (0.750, 0.750, 0.750)
As (0.000, 0.000, 0.000)
C (0.500, 0.500, 0.500)

Properties
Offset from the most stable computed form   1026 meV per atom
Energy of formation   1.04 eV/atom
Density of states at the Fermi level   1.7 states/eV per cell

***

# 2
This record from Alexandria describes a relaxed structure of K3Zn2Sb4Pb2. The functional is PBE.

a b c (Å): 4.506 4.506 22.044
angles (deg): 90.00 90.00 120.00
Positions (direct):
K (0.000, 0.000, 0.000)
K (0.000, 0.000, 0.248)
K (0.000, 0.000, 0.752)
Zn (0.333, 0.667, 0.124)
Zn (0.667, 0.333, 0.876)
Sb (0.333, 0.667, 0.359)
Sb (0.333, 0.667, 0.878)
Sb (0.667, 0.333, 0.122)
Sb (0.667, 0.333, 0.641)
Pb (0.333, 0.667, 0.567)
Pb (0.667, 0.333, 0.433)

Properties
Density of states at the Fermi level   5.0 states/eV per cell
E   -2.98 eV per atom

***

# 3
This record from Alexandria describes a relaxed structure of La6HN2Cl3. The functional is PBE.

a b c (Å): 6.555 6.555 7.481
angles (deg): 98.40 98.40 119.88
Positions (direct):
La (0.082, 0.435, 0.801)
La (0.212, 0.212, 0.196)
La (0.435, 0.082, 0.801)
La (0.565, 0.918, 0.199)
La (0.788, 0.788, 0.804)
La (0.918, 0.565, 0.199)
H (0.500, 0.500, 0.000)
N (0.167, 0.833, 0.000)
N (0.833, 0.167, 0.000)
Cl (0.000, 0.000, 0.500)
Cl (0.337, 0.663, 0.500)
Cl (0.663, 0.337, 0.500)

Properties
Density of states at the Fermi level   7.8 states/eV per cell
E   -5.96 eV per atom

***

# 4
This record from Alexandria describes a relaxed structure of Y2AsIrPd. The functional is PBE.

a b c (Å): 5.350 5.350 4.438
angles (deg): 90.00 90.00 90.00
Positions (direct):
Y (0.000, 0.500, 0.000)
Y (0.500, 0.000, 0.000)
As (0.000, 0.000, 0.500)
Ir (0.500, 0.500, 0.500)
Pd (0.000, 0.000, 0.000)

Properties
Energy of formation   0.06 eV/atom
Density of states at the Fermi level   1.8 states/eV per cell